# 1
Entry from the Alexandria database: a geometry-optimized ReGeRu3 structure (PBE).

Structure (extended XYZ):
```
5
Lattice="-1.0169 1.4486 -4.0596 1.0311 -3.9682 -1.6743 -4.1852 -1.3296 0.5739" Properties=species:S:1:pos:R:3 pbc="T T T"
Re -2.0855 -1.9246 -2.5800
Ge 0.0000 0.0000 0.0000
Ru 0.5156 -1.9841 -0.8371
Ru -2.0926 -0.6648 0.2869
Ru -0.5084 0.7243 -2.0298
```

## Properties
Energy of formation ... 1.4840 eV/atom
SG ... Pm-3m

# 2
Entry from the Alexandria database: a geometry-optimized LiSnPb2 structure (PBE).

Structure (extended XYZ):
```
4
Lattice="4.7044 0.0000 0.0000 0.0000 4.8125 0.0000 0.0000 0.0000 4.8125" Properties=species:S:1:pos:R:3 pbc="T T T"
Pb 0.0000 0.0000 2.4062
Pb 0.0000 2.4062 0.0000
Sn 2.3522 0.0000 0.0000
Li 2.3522 2.4062 2.4062
```

## Properties
Energy of formation ... -0.1253 eV/atom
SG ... P4/mmm

no.,calculated total energy (eV/f.u.)
1,-37.47
2,-13.83